Entry 1:
! Li6TlSn5, optimized geometry, DFT GGA-PBE; values from VASP
! space group: Cmmm
&SYSTEM
  ibrav = 0, nat = 12, ntyp = 3
/
ATOMIC_SPECIES
Li 6.94 Li.upf
Tl 204.38 Tl.upf
Sn 118.71 Sn.upf
CELL_PARAMETERS angstrom
2.457 -7.419 0.000
2.457 7.419 0.000
0.000 0.000 6.737
ATOMIC_POSITIONS crystal
Li 0.000 0.000 0.250
Li 0.000 0.000 0.750
Li 0.334 0.666 0.247
Li 0.334 0.666 0.753
Li 0.666 0.334 0.247
Li 0.666 0.334 0.753
Tl 0.500 0.500 0.500
Sn 0.167 0.833 0.000
Sn 0.170 0.830 0.500
Sn 0.500 0.500 0.000
Sn 0.830 0.170 0.500
Sn 0.833 0.167 0.000

***

Entry 2:
! LiTlSn, optimized geometry, DFT GGA-PBE; values from VASP
! space group: P1
&SYSTEM
  ibrav = 0, nat = 6, ntyp = 3
/
ATOMIC_SPECIES
Li 6.94 Li.upf
Tl 204.38 Tl.upf
Sn 118.71 Sn.upf
CELL_PARAMETERS angstrom
4.626 0.000 0.000
0.001 4.652 0.000
0.006 2.288 7.014
ATOMIC_POSITIONS crystal
Li 0.000 0.000 0.000
Li 0.000 0.322 0.351
Tl 0.000 0.659 0.682
Tl 0.499 0.481 0.028
Sn 0.500 0.181 0.643
Sn 0.501 0.835 0.333

***

Entry 3:
! LiTlSn, optimized geometry, DFT GGA-PBE; values from VASP
! space group: C2/c
&SYSTEM
  ibrav = 0, nat = 6, ntyp = 3
/
ATOMIC_SPECIES
Li 6.94 Li.upf
Tl 204.38 Tl.upf
Sn 118.71 Sn.upf
CELL_PARAMETERS angstrom
4.385 -3.861 0.000
4.385 3.861 0.000
-4.293 0.000 4.411
ATOMIC_POSITIONS crystal
Li 0.000 0.000 0.000
Li 0.000 0.000 0.500
Tl 0.367 0.633 0.750
Tl 0.633 0.367 0.250
Sn 0.000 0.500 0.000
Sn 0.500 0.000 0.500

***

Number 1: size of the total moment 0.0 μB per formula unit, total energy -37.5 eV per formula unit. Number 2: size of the total moment 0.0 μB per formula unit, total energy -8.7 eV per formula unit. Number 3: size of the total moment 0.0 μB per formula unit, total energy -8.8 eV per formula unit.